Compound: Mn2NbCdO6
Source: the Alexandria database
Functional: PBE with a Hubbard U
Structure: optimized geometry

Lattice parameters (Å, degrees): 5.282 5.372 5.724 116.36 90.51 117.74
Positions (direct):
Mn (0.000, 0.000, 0.000)
Mn (0.497, 0.988, 0.475)
Nb (0.794, 0.577, 0.380)
Cd (0.283, 0.540, 0.823)
O (0.054, 0.476, 0.182)
O (0.198, 0.038, 0.658)
O (0.424, 0.147, 0.228)
O (0.618, 0.831, 0.673)
O (0.700, 0.795, 0.214)
O (0.864, 0.498, 0.680)

Results
E_tot, eV for the cell shown: -74.1
Crystal system: triclinic